(1)
Nb6CdS8 after structural relaxation. Source: Alexandria, functional PBE-GGA.

Summary:
Space-group type = P-3
Total magnetic moment = 0.00 μB per atom
Energy above the most stable polymorph in this dataset = 0.000 eV/atom
Raw formation energy = -1.0097 eV/atom

Cell: 9.7459 9.7459 3.3618 Å, 90.00 90.00 120.00°
Positions (direct):
Nb 0.1122 0.6264 0.2500
Nb 0.5141 0.8878 0.2500
Nb 0.3736 0.4859 0.2500
Nb 0.8878 0.3736 0.7500
Nb 0.4859 0.1122 0.7500
Nb 0.6264 0.5141 0.7500
Cd 0.0000 0.0000 0.5000
S 0.6667 0.3333 0.2497
S 0.3333 0.6667 0.7503
S 0.2870 0.9414 0.2499
S 0.6544 0.7130 0.2499
S 0.0586 0.3456 0.2499
S 0.7130 0.0586 0.7501
S 0.3456 0.2870 0.7501
S 0.9414 0.6544 0.7501

(2)
Ba2CaMg2 after structural relaxation. Source: Alexandria, functional PBE-GGA.

Summary:
Space-group type = P4/mbm
Total magnetic moment = 0.00 μB per atom
Energy above the most stable polymorph in this dataset = 0.020 eV/atom

Cell: 8.9425 8.9425 5.5461 Å, 90.00 90.00 90.00°
Positions (direct):
Mg 0.3777 0.8777 0.0000
Mg 0.8777 0.6223 0.0000
Mg 0.6223 0.1223 0.0000
Mg 0.1223 0.3777 0.0000
Ca 0.0000 0.0000 0.0000
Ca 0.5000 0.5000 0.0000
Ba 0.1752 0.6752 0.5000
Ba 0.6752 0.8248 0.5000
Ba 0.8248 0.3248 0.5000
Ba 0.3248 0.1752 0.5000

(3)
MnFe3Pb after structural relaxation. Source: Alexandria, functional PBE-GGA.

Summary:
Space-group type = Pm-3m
Total magnetic moment = 1.27 μB per atom
Energy above the most stable polymorph in this dataset = 0.000 eV/atom

Cell: 4.3597 4.3597 4.3597 Å, 90.00 90.00 90.00°
Site moments in Bohr magnetons follow the coordinates.
Positions (direct):
Pb 0.5000 0.5000 0.5000  -0.02
Mn 0.0000 0.0000 0.0000  -0.51
Fe 0.0000 0.5000 0.0000  2.30
Fe 0.0000 0.0000 0.5000  2.54
Fe 0.5000 0.0000 0.0000  2.03

(4)
NaBeGaO3 after structural relaxation. Source: Alexandria, functional PBE-GGA.

Summary:
Space-group type = P2_1/m
Total magnetic moment = 0.00 μB per atom
Raw formation energy = -2.0345 eV/atom

Cell: 2.8836 6.2410 7.8620 Å, 102.94 90.00 90.00°
Positions (direct):
Na 0.2500 0.2199 0.2664
Na 0.7500 0.7801 0.7336
Be 0.2500 0.1024 0.5879
Be 0.7500 0.8976 0.4121
Ga 0.2500 0.6595 0.1272
Ga 0.7500 0.3405 0.8728
O 0.7500 0.8661 0.1988
O 0.2500 0.1339 0.8012
O 0.2500 0.8292 0.4859
O 0.7500 0.1708 0.5141
O 0.7500 0.4306 0.1283
O 0.2500 0.5694 0.8717

(5)
CsLiCuCl4 after structural relaxation. Source: Alexandria, functional PBE-GGA.

Summary:
Space-group type = P2_1/m
Total magnetic moment = 0.15 μB per atom
Raw formation energy = -1.2659 eV/atom

Cell: 6.2973 7.0293 9.6057 Å, 90.00 111.74 90.00°
Site moments in Bohr magnetons follow the coordinates.
Positions (direct):
Cs 0.6396 0.7500 0.8716  0.00
Cs 0.3604 0.2500 0.1284  0.00
Li 0.8802 0.7500 0.4867  0.00
Li 0.1198 0.2500 0.5133  0.00
Cu 0.1666 0.7500 0.2904  0.50
Cu 0.8334 0.2500 0.7096  0.50
Cl 0.0657 0.4943 0.6942  0.09
Cl 0.9343 0.9943 0.3058  0.09
Cl 0.9343 0.5057 0.3058  0.09
Cl 0.0657 0.0057 0.6942  0.09
Cl 0.2516 0.7500 0.0831  0.10
Cl 0.7484 0.2500 0.9169  0.10
Cl 0.5021 0.7500 0.4814  0.14
Cl 0.4979 0.2500 0.5186  0.14

(6)
Mg2AlIn2 after structural relaxation. Source: Alexandria, functional PBE-GGA.

Summary:
Space-group type = P4/mbm
Total magnetic moment = 0.00 μB per atom
Energy above the most stable polymorph in this dataset = 0.019 eV/atom

Cell: 8.5116 8.5116 3.2511 Å, 90.00 90.00 90.00°
Positions (direct):
Mg 0.1691 0.6691 0.5000
Mg 0.6691 0.8309 0.5000
Mg 0.8309 0.3309 0.5000
Mg 0.3309 0.1691 0.5000
Al 0.0000 0.0000 0.0000
Al 0.5000 0.5000 0.0000
In 0.3684 0.8684 0.0000
In 0.8684 0.6316 0.0000
In 0.6316 0.1316 0.0000
In 0.1316 0.3684 0.0000